## YPaAg (GGA-PBE)

Data for a geometry-optimized YPaAg structure.

Lattice parameters (Å, degrees): 7.0255 7.0255 7.0255 90.00 90.00 90.00
With the nearest neighbours (Å) after each atom.
Space group F-43m (No. 216)
Asymmetric unit:
Y: 0.0000 0.0000 0.0000  4 Ag 3.04
Pa: 0.0000 0.0000 0.5000  4 Ag 3.04
Ag: 0.2500 0.2500 0.7500  4 Pa 3.04, 4 Y 3.04

Computed properties:
Formation energy: 56.7 kJ/mol of atoms
Distance to the lowest polymorph of the same formula: 0.00 eV per formula unit
ρ: 8.2 g cm⁻³
Crystal system: cubic

---

## PaZnAg (GGA-PBE)

Data for a geometry-optimized PaZnAg structure.

Lattice parameters (Å, degrees): 6.4913 6.4913 6.4913 90.00 90.00 90.00
With the nearest neighbours (Å) after each atom.
Space group F-43m (No. 216)
Asymmetric unit:
Pa: 0.0000 0.0000 0.0000  4 Zn 2.81
Zn: 0.2500 0.2500 0.7500  4 Pa 2.81, 4 Ag 2.81
Ag: 0.0000 0.0000 0.5000  4 Zn 2.81

Computed properties:
Formation energy: 34.3 kJ/mol of atoms
Distance to the lowest polymorph of the same formula: 0.00 eV per formula unit
ρ: 9.8 g cm⁻³
Crystal system: cubic

---

## PaZnAg (GGA-PBE)

Data for a geometry-optimized PaZnAg structure.

Lattice parameters (Å, degrees): 6.7943 6.7943 6.7943 90.00 90.00 90.00
With the nearest neighbours (Å) after each atom.
Space group F-43m (No. 216)
Asymmetric unit:
Pa: 0.0000 0.0000 0.0000  4 Zn 2.94, 4 Ag 2.94
Zn: 0.2500 0.2500 0.2500  4 Pa 2.94
Ag: 0.2500 0.2500 0.7500  4 Pa 2.94

Computed properties:
Formation energy: 72.5 kJ/mol of atoms
Distance to the lowest polymorph of the same formula: 1.19 eV per formula unit
ρ: 8.6 g cm⁻³
Crystal system: cubic

---

## Ag9Pb (GGA-PBE)

Data for a geometry-optimized Ag9Pb structure.

Lattice parameters (Å, degrees): 2.9824 3.9047 38.8303 90.00 90.00 90.00
With the nearest neighbours (Å) after each atom.
Space group Pmmn (No. 59, origin choice 2)
Asymmetric unit:
Ag: 0.2500 0.2500 0.0196  12 Ag 2.89-3.04
Ag: 0.2500 0.2500 0.0979  12 Ag 2.89-3.05
Ag: 0.2500 0.2500 0.1766  12 Ag 2.89-3.05
Ag: 0.2500 0.2500 0.2552  12 Ag 2.89-3.05
Ag: 0.2500 0.2500 0.3337  7 Ag 2.88-3.05, 4 Pb 3.11
Ag: 0.2500 0.2500 0.7051  11 Ag 2.88-3.06
Ag: 0.2500 0.2500 0.7840  12 Ag 2.89-3.06
Ag: 0.2500 0.2500 0.8628  12 Ag 2.89-3.06
Ag: 0.2500 0.2500 0.9413  12 Ag 2.89-3.05
Pb: 0.2500 0.2500 0.6174  2 Pb 2.98, 4 Ag 3.11

Computed properties:
Distance to the lowest polymorph of the same formula: 0.00 eV per formula unit
ρ: 8.7 g cm⁻³
Crystal system: orthorhombic

---

## Ag15Pb (GGA-PBE)

Data for a geometry-optimized Ag15Pb structure.

Lattice parameters (Å, degrees): 8.2549 43.4847 4.1085 90.00 90.00 90.00
With the nearest neighbours (Å) after each atom.
Space group Pccm (No. 49)
Asymmetric unit:
Ag: 0.1123 0.1435 0.0000  6 Ag 2.77-2.92, 2 Pb 2.91
Ag: 0.1254 0.2858 0.5000  12 Ag 2.91-2.96
Ag: 0.1249 0.3335 0.0000  12 Ag 2.91-2.93
Ag: 0.1250 0.3811 0.5000  12 Ag 2.91-2.93
Ag: 0.1249 0.4287 0.0000  12 Ag 2.91-2.93
Ag: 0.1251 0.4762 0.5000  12 Ag 2.91-2.92
Ag: 0.1272 0.2380 0.0000  12 Ag 2.89-3.05
Ag: 0.1311 0.1911 0.5000  11 Ag 2.86-2.98
Ag: 0.3753 0.2856 0.0000  12 Ag 2.91-2.94
Ag: 0.3749 0.3334 0.5000  12 Ag 2.91-2.93
Ag: 0.3749 0.3810 0.0000  12 Ag 2.91-2.93
Ag: 0.3751 0.4286 0.5000  12 Ag 2.91-2.92
Ag: 0.3750 0.4762 0.0000  12 Ag 2.91-2.92
Ag: 0.3777 0.2373 0.5000  12 Ag 2.86-3.00
Ag: 0.3814 0.1871 0.0000  9 Ag 2.84-3.05
Pb: 0.3490 0.1285 0.5000  2 Ag 2.91, 2 Pb 3.23

Computed properties:
Distance to the lowest polymorph of the same formula: 0.04 eV per formula unit
ρ: 8.2 g cm⁻³
Crystal system: orthorhombic

---

## Ag7Pb (GGA-PBE)

Data for a geometry-optimized Ag7Pb structure.

Lattice parameters (Å, degrees): 2.9502 2.9502 41.8158 90.00 90.00 90.00
With the nearest neighbours (Å) after each atom.
Space group P4/nmm (No. 129, origin choice 2)
Asymmetric unit:
Ag: 0.2500 0.2500 0.0247  12 Ag 2.93-2.95
Ag: 0.2500 0.2500 0.1226  12 Ag 2.91-2.95
Ag: 0.2500 0.2500 0.2196  12 Ag 2.90-2.95
Ag: 0.2500 0.2500 0.3166  8 Ag 2.91-2.95, 4 Pb 3.21
Ag: 0.2500 0.2500 0.7321  12 Ag 2.90-2.95
Ag: 0.2500 0.2500 0.8288  12 Ag 2.91-2.95
Ag: 0.2500 0.2500 0.9262  12 Ag 2.92-2.95
Pb: 0.2500 0.2500 0.6250  4 Pb 2.95, 4 Ag 3.21

Computed properties:
Total DFT energy (no corrections): -22.940 eV/f.u.
ρ: 8.8 g cm⁻³
Crystal system: tetragonal

---

## Ag9Pb (GGA-PBE)

Data for a geometry-optimized Ag9Pb structure.

Lattice parameters (Å, degrees): 2.9790 2.9790 46.9592 90.00 90.00 90.00
With the nearest neighbours (Å) after each atom.
Space group P4/nmm (No. 129, origin choice 2)
Asymmetric unit:
Ag: 0.2500 0.2500 0.0210  12 Ag 2.89-2.98
Ag: 0.2500 0.2500 0.1053  12 Ag 2.89-2.98
Ag: 0.2500 0.2500 0.1908  12 Ag 2.92-2.98
Ag: 0.2500 0.2500 0.2773  12 Ag 2.92-2.98
Ag: 0.2500 0.2500 0.3639  8 Ag 2.93-2.98, 4 Pb 3.21
Ag: 0.2500 0.2500 0.6796  12 Ag 2.92-2.98
Ag: 0.2500 0.2500 0.7660  12 Ag 2.92-2.98
Ag: 0.2500 0.2500 0.8521  12 Ag 2.91-2.98
Ag: 0.2500 0.2500 0.9369  12 Ag 2.89-2.98
Pb: 0.2500 0.2500 0.5844  4 Pb 2.98, 4 Ag 3.21

Computed properties:
Distance to the lowest polymorph of the same formula: 0.05 eV per formula unit
ρ: 9.4 g cm⁻³
Crystal system: tetragonal

---

## Ag15Pb (GGA-PBE)

Data for a geometry-optimized Ag15Pb structure.

Lattice parameters (Å, degrees): 4.0974 4.1016 44.8266 90.00 90.00 90.00
With the nearest neighbours (Å) after each atom.
Space group Pmma (No. 51)
Asymmetric unit:
Ag: 0.2500 0.0000 0.0232  12 Ag 2.90-2.93
Ag: 0.2500 0.0000 0.1164  12 Ag 2.90-2.93
Ag: 0.2500 0.0000 0.2097  12 Ag 2.90-2.95
Ag: 0.2500 0.0000 0.3037  10 Ag 2.90-2.95
Ag: 0.2500 0.0000 0.6504  4 Ag 2.90, 4 Pb 2.96
Ag: 0.2500 0.0000 0.7436  12 Ag 2.90-2.95
Ag: 0.2500 0.0000 0.8370  12 Ag 2.90-2.93
Ag: 0.2500 0.0000 0.9302  12 Ag 2.90-2.93
Ag: 0.2500 0.5000 0.0699  12 Ag 2.90-2.93
Ag: 0.2500 0.5000 0.1631  12 Ag 2.90-2.93
Ag: 0.2500 0.5000 0.2568  12 Ag 2.90-2.95
Ag: 0.2500 0.5000 0.6963  10 Ag 2.90-2.95
Ag: 0.2500 0.5000 0.7903  12 Ag 2.90-2.94
Ag: 0.2500 0.5000 0.8835  12 Ag 2.90-2.93
Ag: 0.2500 0.5000 0.9767  12 Ag 2.90-2.93
Pb: 0.2500 0.5000 0.3630  4 Ag 2.96

Computed properties:
Distance to the lowest polymorph of the same formula: 0.00 eV per formula unit
ρ: 8.0 g cm⁻³
Crystal system: orthorhombic

---

## Ag7Pb (GGA-PBE)

Data for a geometry-optimized Ag7Pb structure.

Lattice parameters (Å, degrees): 2.9163 3.9667 35.3292 90.00 90.00 90.00
With the nearest neighbours (Å) after each atom.
Space group Pmmn (No. 59, origin choice 2)
Asymmetric unit:
Ag: 0.2500 0.2500 0.0210  12 Ag 2.87-2.96
Ag: 0.2500 0.2500 0.1049  12 Ag 2.88-2.98
Ag: 0.2500 0.2500 0.1893  12 Ag 2.88-3.01
Ag: 0.2500 0.2500 0.2745  7 Ag 2.88-3.01, 4 Pb 3.10
Ag: 0.2500 0.2500 0.7679  11 Ag 2.88-3.01
Ag: 0.2500 0.2500 0.8530  12 Ag 2.88-3.01
Ag: 0.2500 0.2500 0.9371  12 Ag 2.87-2.97
Pb: 0.2500 0.2500 0.6722  2 Pb 2.92, 4 Ag 3.10

Computed properties:
Total DFT energy (no corrections): -22.949 eV/f.u.
ρ: 7.8 g cm⁻³
Crystal system: orthorhombic

---

## Ag15Pb (GGA-PBE)

Data for a geometry-optimized Ag15Pb structure.

Lattice parameters (Å, degrees): 5.8235 4.0652 35.3920 90.00 90.04 90.00
With the nearest neighbours (Å) after each atom.
Space group P2_1/m (No. 11)
Asymmetric unit:
Ag: 0.1234 0.2500 0.2736  9 Ag 2.88-3.00, 2 Pb 3.10
Ag: 0.1245 0.2500 0.8528  12 Ag 2.90-2.98
Ag: 0.1253 0.2500 0.0209  12 Ag 2.91-2.97
Ag: 0.1247 0.2500 0.1048  12 Ag 2.90-2.97
Ag: 0.1246 0.2500 0.7689  11 Ag 2.91-2.97
Ag: 0.1248 0.2500 0.9370  12 Ag 2.90-2.98
Ag: 0.1267 0.2500 0.1888  12 Ag 2.90-3.00
Ag: 0.3719 0.7500 0.7262  9 Ag 2.88-3.01, 2 Pb 3.09
Ag: 0.3740 0.7500 0.8952  12 Ag 2.90-2.97
Ag: 0.3752 0.7500 0.0631  12 Ag 2.90-2.97
Ag: 0.3754 0.7500 0.1466  12 Ag 2.91-2.98
Ag: 0.3754 0.7500 0.3135  5 Ag 2.88-2.93, 2 Pb 2.94
Ag: 0.3754 0.7500 0.8113  12 Ag 2.90-3.01
Ag: 0.3751 0.7500 0.9791  12 Ag 2.90-2.97
Ag: 0.3761 0.7500 0.2307  12 Ag 2.90-2.98
Pb: 0.1247 0.2500 0.6746  6 Ag 2.94-3.10

Computed properties:
Distance to the lowest polymorph of the same formula: 0.31 eV per formula unit
ρ: 7.2 g cm⁻³
Crystal system: monoclinic